Run 1
A plane-wave DFT calculation with PBE-GGA was carried out for a relaxed structure of BeWSeBr2.

abc: 5.270 5.270 4.854
angles: 90.00 90.00 90.00
Sites, in units of the cell vectors:
Be 0.000 0.000 0.000
W 0.500 0.500 0.500
Se 0.500 0.500 0.000
Br 0.000 0.500 0.500
Br 0.500 0.000 0.500

Density of states at the Fermi level (states/eV/f.u.): 2.9
Magnetization (μB per formula unit): 1.61

***

Run 2
A plane-wave DFT calculation with PBE-GGA was carried out for a relaxed structure of BeWSeBr2.

abc: 4.525 4.525 5.228
angles: 90.00 90.00 90.00
Sites, in units of the cell vectors:
Be 0.000 0.000 0.000
W 0.500 0.500 0.500
Se 0.000 0.000 0.500
Br 0.000 0.500 0.000
Br 0.500 0.000 0.000

Density of states at the Fermi level (states/eV/f.u.): 4.2
Magnetization (μB per formula unit): 3.98

***

Relative to the most stable one, in meV per atom, the structures come out at run 1 0; run 2 124.